Record 1
A relaxed structure of LiY2Br, computed with PBEsol.

The size of the total moment is 6.902 μB per cell. The energy above the most stable polymorph in this dataset is 675 meV/atom. The calculation puts the volume at 425.1 Å³/cell.

The space group is F-43m (No. 216) and the conventional cell measures 7.5191, 7.5191 and 7.5191 Å, with angles of 90.00, 90.00 and 90.00 degrees. The asymmetric unit holds Li at (0.0000, 0.0000, 0.0000), Y at (0.0000, 0.0000, 0.5000), Y at (0.2500, 0.2500, 0.7500) and Br at (0.2500, 0.2500, 0.2500).

Record 2
A relaxed structure of LiY2Br, computed with PBEsol.

The size of the total moment is 0.000 μB per cell. The energy above the most stable polymorph in this dataset is 89 meV/atom. The calculation puts the volume at 198.2 Å³/cell.

The space group is Imm2 (No. 44) and the conventional cell measures 3.4172, 5.3342 and 10.8732 Å, with angles of 90.00, 90.00 and 90.00 degrees. The asymmetric unit holds Li at (0.0000, 0.0000, 0.0000), Y at (0.0000, 0.0000, 0.4324), Y at (0.0000, 0.5000, 0.2064) and Br at (0.0000, 0.5000, 0.7038).

Record 3
A relaxed structure of Li2ZnBr, computed with PBEsol.

The size of the total moment is 0.000 μB per cell. The energy above the most stable polymorph in this dataset is 105 meV/atom. The calculation puts the volume at 74.5 Å³/cell.

The space group is P4/mmm (No. 123) and the conventional cell measures 4.6238, 4.6238 and 3.4856 Å, with angles of 90.00, 90.00 and 90.00 degrees. The asymmetric unit holds Li at (0.0000, 0.5000, 0.0000), Zn at (0.0000, 0.0000, 0.5000) and Br at (0.5000, 0.5000, 0.5000).

Record 4
A relaxed structure of Li2ZnBr, computed with PBEsol.

The size of the total moment is 0.001 μB per cell. The energy above the most stable polymorph in this dataset is 473 meV/atom. The calculation puts the volume at 343.9 Å³/cell.

The space group is F-43m (No. 216) and the conventional cell measures 7.0059, 7.0059 and 7.0059 Å, with angles of 90.00, 90.00 and 90.00 degrees. The asymmetric unit holds Li at (0.0000, 0.0000, 0.0000), Li at (0.2500, 0.2500, 0.2500), Zn at (0.2500, 0.2500, 0.7500) and Br at (0.0000, 0.0000, 0.5000).

Record 5
A relaxed structure of Li2ZnBr, computed with PBEsol.

The size of the total moment is 0.000 μB per cell. The energy above the most stable polymorph in this dataset is 0 meV/atom. The calculation puts the volume at 70.6 Å³/cell.

The space group is P2/m (No. 10) and the conventional cell measures 3.3886, 3.3884 and 6.1455 Å, with angles of 90.00, 90.71 and 90.00 degrees. The asymmetric unit holds Li at (0.0059, 0.0000, 0.2388), Zn at (0.5000, 0.5000, 0.0000) and Br at (0.5000, 0.5000, 0.5000).

Record 6
A relaxed structure of Li2ZnBr4, computed with PBEsol.

The size of the total moment is 0.000 μB per cell. The value obtained for the total energy is -3.10 eV/atom. The calculation puts the volume at 667.4 Å³/cell.

The space group is Pnma (No. 62) and the conventional cell measures 13.4360, 7.7667 and 6.3955 Å, with angles of 90.00, 90.00 and 90.00 degrees. The asymmetric unit holds Li at (0.0000, 0.0000, 0.0000), Li at (0.2354, 0.2500, 0.4984), Zn at (0.0870, 0.7500, 0.5915), Br at (0.0763, 0.2500, 0.2483), Br at (0.0892, 0.7500, 0.2203) and Br at (0.1670, 0.5056, 0.7537).

Record 7
A relaxed structure of Li2ZnBr, computed with PBEsol.

The size of the total moment is 0.000 μB per cell. The energy above the most stable polymorph in this dataset is 87 meV/atom. The calculation puts the volume at 84.2 Å³/cell.

The space group is P4mm (No. 99) and the conventional cell measures 3.5969, 3.5969 and 6.5090 Å, with angles of 90.00, 90.00 and 90.00 degrees. The asymmetric unit holds Li at (0.0000, 0.0000, 0.0000), Li at (0.5000, 0.5000, 0.3269), Zn at (0.0000, 0.0000, 0.4501) and Br at (0.5000, 0.5000, 0.9341).

Record 8
A relaxed structure of LiZnBr2, computed with PBEsol.

The size of the total moment is 0.000 μB per cell. The energy above the most stable polymorph in this dataset is 0 meV/atom. The calculation puts the volume at 190.5 Å³/cell.

The space group is Cmmm (No. 65) and the conventional cell measures 3.7676, 6.7059 and 7.5408 Å, with angles of 90.00, 90.00 and 90.00 degrees. The asymmetric unit holds Li at (0.0000, 0.0000, 0.0000), Zn at (0.0000, 0.0000, 0.5000) and Br at (0.0000, 0.5000, 0.2327).

Record 9
A relaxed structure of LiZnBr2, computed with PBEsol.

The size of the total moment is 0.000 μB per cell. The energy above the most stable polymorph in this dataset is 16 meV/atom. The calculation puts the volume at 83.4 Å³/cell.

The space group is P4/mmm (No. 123) and the conventional cell measures 4.8985, 4.8985 and 3.4740 Å, with angles of 90.00, 90.00 and 90.00 degrees. The asymmetric unit holds Li at (0.0000, 0.0000, 0.0000), Zn at (0.5000, 0.5000, 0.0000) and Br at (0.0000, 0.5000, 0.5000).

Record 10
A relaxed structure of Li2ZrBr, computed with PBEsol.

The size of the total moment is 0.001 μB per cell. The value obtained for the total energy is -3.76 eV/atom. The calculation puts the volume at 308.6 Å³/cell.

The space group is I-42d (No. 122) and the conventional cell measures 7.6290, 7.6290 and 5.3028 Å, with angles of 90.00, 90.00 and 90.00 degrees. The asymmetric unit holds Li at (0.1917, 0.2500, 0.1250), Zr at (0.0000, 0.0000, 0.5000) and Br at (0.0000, 0.0000, 0.0000).

Record 11
A relaxed structure of Na3LuBr6, computed with PBEsol.

The size of the total moment is 0.001 μB per cell. The value obtained for the total energy is -3.69 eV/atom. The calculation puts the volume at 565.8 Å³/cell.

The space group is P2_1/c (No. 14) and the conventional cell measures 7.0630, 7.6274 and 12.5759 Å, with angles of 90.00, 123.37 and 90.00 degrees. The asymmetric unit holds Na at (0.0000, 0.0000, 0.0000), Na at (0.2050, 0.0944, 0.7428), Lu at (0.5000, 0.0000, 0.5000), Br at (0.1188, 0.1780, 0.4322), Br at (0.2582, 0.6967, 0.4229) and Br at (0.4079, 0.0563, 0.2619).

Record 12
A relaxed structure of Mg3Br5, computed with PBEsol.

The size of the total moment is 0.000 μB per cell. The value obtained for the total energy is -2.80 eV/atom. The calculation puts the volume at 412.5 Å³/cell.

The space group is Cmmm (No. 65) and the conventional cell measures 8.6322, 12.4563 and 3.8362 Å, with angles of 90.00, 90.00 and 90.00 degrees. The asymmetric unit holds Mg at (0.0000, 0.0000, 0.0000), Mg at (0.0000, 0.3335, 0.5000), Br at (0.0000, 0.5000, 0.0000), Br at (0.1924, 0.0000, 0.5000) and Br at (0.2500, 0.2500, 0.0000).

Record 13
A relaxed structure of MgBr2, computed with PBEsol.

The size of the total moment is 0.000 μB per cell. The value obtained for the total energy is -3.31 eV/atom. The calculation puts the volume at 83.0 Å³/cell.

The space group is P-3m1 (No. 164) and the conventional cell measures 3.8161, 3.8161 and 6.5779 Å, with angles of 90.00, 90.00 and 120.00 degrees. The asymmetric unit holds Mg at (0.0000, 0.0000, 0.0000) and Br at (0.3333, 0.6667, 0.7709).

Record 14
A relaxed structure of MgBr3, computed with PBEsol.

The size of the total moment is 0.720 μB per cell. The value obtained for the total energy is -2.09 eV/atom. The calculation puts the volume at 99.2 Å³/cell.

The space group is Pm-3m (No. 221) and the conventional cell measures 4.6297, 4.6297 and 4.6297 Å, with angles of 90.00, 90.00 and 90.00 degrees. The asymmetric unit holds Mg at (0.0000, 0.0000, 0.0000) and Br at (0.0000, 0.5000, 0.5000).

Record 15
A relaxed structure of MgBr2, computed with PBEsol.

The size of the total moment is 0.000 μB per cell. The value obtained for the total energy is -3.25 eV/atom. The calculation puts the volume at 155.0 Å³/cell.

The space group is Pnnm (No. 58) and the conventional cell measures 6.1259, 6.4878 and 3.9000 Å, with angles of 90.00, 90.00 and 90.00 degrees. The asymmetric unit holds Mg at (0.0000, 0.0000, 0.0000) and Br at (0.2339, 0.1619, 0.5000).

Record 16
A relaxed structure of MgBr2, computed with PBEsol.

The size of the total moment is 0.002 μB per cell. The value obtained for the total energy is -3.23 eV/atom. The calculation puts the volume at 372.8 Å³/cell.

The space group is Cmcm (No. 63) and the conventional cell measures 3.7890, 17.9252 and 5.4883 Å, with angles of 90.00, 90.00 and 90.00 degrees. The asymmetric unit holds Mg at (0.0000, 0.1795, 0.2500), Br at (0.0000, 0.2079, 0.7500) and Br at (0.0000, 0.4131, 0.7500).

Record 17
A relaxed structure of Mg5Br, computed with PBEsol.

The size of the total moment is 0.003 μB per cell. The value obtained for the total energy is -1.72 eV/atom. The calculation puts the volume at 595.9 Å³/cell.

The space group is F-43m (No. 216) and the conventional cell measures 8.4149, 8.4149 and 8.4149 Å, with angles of 90.00, 90.00 and 90.00 degrees. The asymmetric unit holds Mg at (0.0000, 0.0000, 0.0000), Mg at (0.1265, 0.1265, 0.3735) and Br at (0.2500, 0.2500, 0.7500).

Record 18
A relaxed structure of MgBr2, computed with PBEsol.

The size of the total moment is 8.198 μB per cell. The value obtained for the total energy is -1.60 eV/atom. The calculation puts the volume at 691.3 Å³/cell.

The space group is Fd-3m (No. 227, origin choice 2) and the conventional cell measures 8.8422, 8.8422 and 8.8422 Å, with angles of 90.00, 90.00 and 90.00 degrees. The asymmetric unit holds Mg at (0.1250, 0.1250, 0.1250) and Br at (0.0000, 0.0000, 0.5000).

Record 19
A relaxed structure of MgMn3Br, computed with PBEsol.

The size of the total moment is 13.411 μB per cell. The value obtained for the total energy is -5.10 eV/atom. The calculation puts the volume at 124.8 Å³/cell.

The space group is Pm-3m (No. 221) and the conventional cell measures 4.9979, 4.9979 and 4.9979 Å, with angles of 90.00, 90.00 and 90.00 degrees. The asymmetric unit holds Mg at (0.0000, 0.0000, 0.0000), Mn at (0.0000, 0.0000, 0.5000) and Br at (0.5000, 0.5000, 0.5000).

Record 20
A relaxed structure of MgMn2PdBr, computed with PBEsol.

The size of the total moment is 8.194 μB per cell. The value obtained for the total energy is -4.45 eV/atom. The calculation puts the volume at 114.1 Å³/cell.

The space group is P4/mmm (No. 123) and the conventional cell measures 4.9001, 4.9001 and 4.7513 Å, with angles of 90.00, 90.00 and 90.00 degrees. The asymmetric unit holds Mg at (0.0000, 0.0000, 0.0000), Mn at (0.0000, 0.5000, 0.0000), Pd at (0.5000, 0.5000, 0.5000) and Br at (0.0000, 0.0000, 0.5000).

Record 21
A relaxed structure of Mg2MoBr, computed with PBEsol.

The size of the total moment is 10.421 μB per cell. The energy above the most stable polymorph in this dataset is 488 meV/atom. The calculation puts the volume at 312.3 Å³/cell.

The space group is F-43m (No. 216) and the conventional cell measures 6.7846, 6.7846 and 6.7846 Å, with angles of 90.00, 90.00 and 90.00 degrees. The asymmetric unit holds Mg at (0.0000, 0.0000, 0.0000), Mg at (0.2500, 0.2500, 0.2500), Mo at (0.0000, 0.0000, 0.5000) and Br at (0.2500, 0.2500, 0.7500).

Record 22
A relaxed structure of Mg2MoBr, computed with PBEsol.

The size of the total moment is 13.990 μB per cell. The energy above the most stable polymorph in this dataset is 633 meV/atom. The calculation puts the volume at 345.6 Å³/cell.

The space group is Fm-3m (No. 225) and the conventional cell measures 7.0174, 7.0174 and 7.0174 Å, with angles of 90.00, 90.00 and 90.00 degrees. The asymmetric unit holds Mg at (0.2500, 0.2500, 0.2500), Mo at (0.0000, 0.0000, 0.0000) and Br at (0.0000, 0.0000, 0.5000).

Record 23
A relaxed structure of Mg2MoBr, computed with PBEsol.

The size of the total moment is 0.419 μB per cell. The energy above the most stable polymorph in this dataset is 0 meV/atom. The calculation puts the volume at 160.1 Å³/cell.

The space group is Cm (No. 8) and the conventional cell measures 10.7226, 3.0415 and 5.1298 Å, with angles of 90.00, 106.89 and 90.00 degrees. The asymmetric unit holds Mg at (0.0000, 0.0000, 0.0000), Mg at (0.2008, 0.0000, 0.6354), Mo at (0.4597, 0.0000, 0.5053) and Br at (0.2875, 0.5000, 0.2072).

Record 24
A relaxed structure of MgMo3Br, computed with PBEsol.

The size of the total moment is 0.001 μB per cell. The value obtained for the total energy is -6.41 eV/atom. The calculation puts the volume at 95.9 Å³/cell.

The space group is Pm-3m (No. 221) and the conventional cell measures 4.5778, 4.5778 and 4.5778 Å, with angles of 90.00, 90.00 and 90.00 degrees. The asymmetric unit holds Mg at (0.0000, 0.0000, 0.0000), Mo at (0.0000, 0.5000, 0.5000) and Br at (0.5000, 0.5000, 0.5000).

Record 25
A relaxed structure of MgMoBrO2, computed with PBEsol.

The size of the total moment is 4.195 μB per cell. The value obtained for the total energy is -3.99 eV/atom. The calculation puts the volume at 84.5 Å³/cell.

The space group is P4/mmm (No. 123) and the conventional cell measures 4.1393, 4.1393 and 4.9298 Å, with angles of 90.00, 90.00 and 90.00 degrees. The asymmetric unit holds Mg at (0.0000, 0.0000, 0.0000), Mo at (0.5000, 0.5000, 0.0000), Br at (0.0000, 0.0000, 0.5000) and O at (0.0000, 0.5000, 0.5000).

Record 26
A relaxed structure of MgSBrN2, computed with PBEsol.

The size of the total moment is 4.528 μB per cell. The value obtained for the total energy is -3.62 eV/atom. The calculation puts the volume at 88.7 Å³/cell.

The space group is P4/mmm (No. 123) and the conventional cell measures 4.0755, 4.0755 and 5.3418 Å, with angles of 90.00, 90.00 and 90.00 degrees. The asymmetric unit holds Mg at (0.0000, 0.0000, 0.0000), S at (0.0000, 0.0000, 0.5000), Br at (0.5000, 0.5000, 0.5000) and N at (0.0000, 0.5000, 0.0000).

Record 27
A relaxed structure of MgSeBr2N, computed with PBEsol.

The size of the total moment is 0.000 μB per cell. The energy above the most stable polymorph in this dataset is 0 meV/atom. The calculation puts the volume at 96.2 Å³/cell.

The space group is P4/mmm (No. 123) and the conventional cell measures 4.4101, 4.4101 and 4.9457 Å, with angles of 90.00, 90.00 and 90.00 degrees. The asymmetric unit holds Mg at (0.0000, 0.0000, 0.0000), Se at (0.5000, 0.5000, 0.0000), Br at (0.0000, 0.5000, 0.5000) and N at (0.5000, 0.5000, 0.5000).